(1)
{"formula": "MnAgHg2", "functional": "PBE", "state": "optimized geometry", "lattice": [[1.5741, 0.9088, 9.2004], [-1.5741, 0.9088, 9.2004], [0.0000, -1.8176, 9.2004]], "species": ["Mn", "Ag", "Hg", "Hg"], "fractional_positions": [[0.0000, 0.0000, 0.0000], [0.5000, 0.5000, 0.5000], [0.2533, 0.2533, 0.2533], [0.7467, 0.7467, 0.7467]], "delta_e_f_ev_per_atom": 0.238, "total_energy_ev_per_cell": -11.67}

(2)
{"formula": "Pr3DyHg", "functional": "PBE", "state": "optimized geometry", "lattice": [[5.8143, -3.8426, 0.0000], [5.8143, 3.8426, 0.0000], [-3.0764, 0.0000, 7.5820]], "species": ["Pr", "Pr", "Pr", "Pr", "Pr", "Pr", "Dy", "Dy", "Hg", "Hg"], "fractional_positions": [[0.0490, 0.0490, 0.2338], [0.0905, 0.5811, 0.3527], [0.4189, 0.9095, 0.6473], [0.5811, 0.0905, 0.3527], [0.9095, 0.4189, 0.6473], [0.9510, 0.9510, 0.7662], [0.4406, 0.4406, 0.7588], [0.5594, 0.5594, 0.2412], [0.2666, 0.2666, 0.9984], [0.7334, 0.7334, 0.0016]], "delta_e_f_ev_per_atom": -0.083, "total_energy_ev_per_cell": -39.31}

(3)
{"formula": "Mg5In2Pd2Rh", "functional": "PBE", "state": "optimized geometry", "lattice": [[10.9145, 0.0000, 0.0000], [0.0000, 10.9145, 0.0000], [0.0000, 0.0000, 3.2641]], "species": ["Mg", "Mg", "Mg", "Mg", "Mg", "Mg", "Mg", "Mg", "Mg", "Mg", "In", "In", "In", "In", "Pd", "Pd", "Pd", "Pd", "Rh", "Rh"], "fractional_positions": [[0.0000, 0.5000, 0.0000], [0.0551, 0.1891, 0.0000], [0.1891, 0.9449, 0.0000], [0.3109, 0.4449, 0.0000], [0.4449, 0.6891, 0.0000], [0.5000, 0.0000, 0.0000], [0.5551, 0.3109, 0.0000], [0.6891, 0.5551, 0.0000], [0.8109, 0.0551, 0.0000], [0.9449, 0.8109, 0.0000], [0.1755, 0.6755, 0.5000], [0.3245, 0.1755, 0.5000], [0.6755, 0.8245, 0.5000], [0.8245, 0.3245, 0.5000], [0.1368, 0.3632, 0.5000], [0.3632, 0.8632, 0.5000], [0.6368, 0.1368, 0.5000], [0.8632, 0.6368, 0.5000], [0.0000, 0.0000, 0.5000], [0.5000, 0.5000, 0.5000]], "delta_e_f_ev_per_atom": -0.411, "total_energy_ev_per_cell": -70.59}

(4)
{"formula": "Y4CoSe", "functional": "PBE", "state": "optimized geometry", "lattice": [[0.0000, 4.3811, 4.3811], [4.3811, 0.0000, 4.3811], [4.3811, 4.3811, 0.0000]], "species": ["Y", "Y", "Y", "Y", "Co", "Se"], "fractional_positions": [[0.1240, 0.1240, 0.1240], [0.1240, 0.1240, 0.6279], [0.1240, 0.6279, 0.1240], [0.6279, 0.1240, 0.1240], [0.7500, 0.7500, 0.7500], [0.5000, 0.5000, 0.5000]], "total_energy_ev_per_cell": -32.66, "raw_formation_energy_ev_per_atom": 0.63}

(5)
{"formula": "Th5InGa2", "functional": "PBE", "state": "optimized geometry", "lattice": [[-4.0043, 4.0043, 7.0855], [4.0043, -4.0043, 7.0855], [4.0043, 4.0043, -7.0855]], "species": ["Th", "Th", "Th", "Th", "Th", "Th", "Th", "Th", "Th", "Th", "In", "In", "Ga", "Ga", "Ga", "Ga"], "fractional_positions": [[0.0000, 0.0000, 0.0000], [0.0166, 0.5166, 0.8292], [0.1874, 0.0166, 0.5000], [0.3126, 0.8126, 0.8292], [0.4834, 0.3126, 0.5000], [0.5000, 0.5000, 0.0000], [0.5166, 0.6874, 0.5000], [0.6874, 0.1874, 0.1708], [0.8126, 0.9834, 0.5000], [0.9834, 0.4834, 0.1708], [0.2500, 0.2500, 0.0000], [0.7500, 0.7500, 0.0000], [0.1259, 0.3741, 0.5000], [0.3741, 0.8741, 0.2482], [0.6259, 0.1259, 0.7518], [0.8741, 0.6259, 0.5000]], "delta_e_f_ev_per_atom": -0.304, "total_energy_ev_per_cell": -96.64}

(6)
{"formula": "Nd2Ho5Mg", "functional": "PBE", "state": "optimized geometry", "lattice": [[8.3900, 0.0000, 0.0000], [-2.6402, 10.9241, 0.0000], [-2.5676, -0.7290, 11.0094]], "species": ["Nd", "Nd", "Nd", "Nd", "Nd", "Nd", "Nd", "Nd", "Ho", "Ho", "Ho", "Ho", "Ho", "Ho", "Ho", "Ho", "Ho", "Ho", "Ho", "Ho", "Ho", "Ho", "Ho", "Ho", "Ho", "Ho", "Ho", "Ho", "Mg", "Mg", "Mg", "Mg"], "fractional_positions": [[0.0175, 0.0871, 0.3596], [0.1430, 0.3827, 0.5516], [0.1697, 0.5621, 0.2823], [0.2266, 0.8313, 0.4536], [0.7734, 0.1687, 0.5464], [0.8303, 0.4380, 0.7177], [0.8570, 0.6173, 0.4484], [0.9825, 0.9129, 0.6404], [0.0459, 0.2669, 0.1149], [0.0928, 0.2030, 0.8185], [0.1818, 0.0220, 0.0775], [0.1932, 0.5187, 0.9731], [0.2064, 0.6667, 0.7057], [0.3515, 0.9502, 0.8648], [0.3632, 0.1575, 0.6234], [0.4215, 0.0730, 0.3367], [0.4447, 0.4299, 0.8160], [0.4482, 0.3657, 0.3928], [0.5518, 0.6343, 0.6072], [0.5553, 0.5701, 0.1840], [0.5785, 0.9270, 0.6633], [0.6368, 0.8425, 0.3766], [0.6485, 0.0498, 0.1352], [0.7936, 0.3333, 0.2943], [0.8068, 0.4813, 0.0269], [0.8182, 0.9780, 0.9225], [0.9072, 0.7970, 0.1815], [0.9541, 0.7331, 0.8851], [0.3321, 0.7904, 0.1207], [0.4402, 0.2815, 0.0707], [0.5598, 0.7185, 0.9293], [0.6679, 0.2096, 0.8793]], "delta_e_f_ev_per_atom": 0.091, "total_energy_ev_per_cell": -133.15}

(7)
{"formula": "ZrRuO3", "functional": "PBE", "state": "optimized geometry", "lattice": [[4.1086, 0.0000, 0.0000], [0.0000, 4.1086, 0.0000], [0.0000, 0.0000, 4.1086]], "species": ["Zr", "Ru", "O", "O", "O"], "fractional_positions": [[0.0000, 0.0000, 0.0000], [0.5000, 0.5000, 0.5000], [0.0000, 0.0000, 0.5000], [0.0000, 0.5000, 0.0000], [0.5000, 0.0000, 0.0000]], "total_energy_ev_per_cell": -39.12, "raw_formation_energy_ev_per_atom": -1.28}

(8)
{"formula": "Hf2Cu2Pb", "functional": "PBE", "state": "optimized geometry", "lattice": [[-1.6877, 1.6877, 8.5818], [1.6877, -1.6877, 8.5818], [1.6877, 1.6877, -8.5818]], "species": ["Hf", "Hf", "Cu", "Cu", "Pb"], "fractional_positions": [[0.1220, 0.1220, 0.0000], [0.8780, 0.8780, 0.0000], [0.2500, 0.7500, 0.5000], [0.7500, 0.2500, 0.5000], [0.5000, 0.5000, 0.0000]], "delta_e_f_ev_per_atom": 0.153, "total_energy_ev_per_cell": -31.04}

(9)
{"formula": "Y2HoAs", "functional": "PBE", "state": "optimized geometry", "lattice": [[1.9288, 1.1136, 9.4127], [-1.9288, 1.1136, 9.4127], [0.0000, -2.2272, 9.4127]], "species": ["Y", "Y", "Ho", "As"], "fractional_positions": [[0.2280, 0.2280, 0.2280], [0.7720, 0.7720, 0.7720], [0.0000, 0.0000, 0.0000], [0.5000, 0.5000, 0.5000]], "delta_e_f_ev_per_atom": -0.601, "total_energy_ev_per_cell": -24.56}

(10)
{"formula": "Mn2TcCl", "functional": "PBE", "state": "optimized geometry", "lattice": [[2.9263, 0.0000, 0.0000], [0.0000, 2.9672, 0.0000], [0.0000, 0.0000, 7.1210]], "species": ["Mn", "Mn", "Tc", "Cl"], "fractional_positions": [[0.0000, 0.0000, 0.0000], [0.5000, 0.5000, 0.2296], [0.0000, 0.0000, 0.4077], [0.5000, 0.0000, 0.7124]], "total_energy_ev_per_cell": -29.95, "raw_formation_energy_ev_per_atom": 0.15}

(11)
{"formula": "Ca2HfRhI", "functional": "PBE", "state": "optimized geometry", "lattice": [[5.9288, 0.0000, 0.0000], [0.0000, 5.9288, 0.0000], [0.0000, 0.0000, 5.2626]], "species": ["Ca", "Ca", "Hf", "Rh", "I"], "fractional_positions": [[0.0000, 0.5000, 0.0000], [0.5000, 0.0000, 0.0000], [0.0000, 0.0000, 0.0000], [0.5000, 0.5000, 0.5000], [0.0000, 0.0000, 0.5000]], "total_energy_ev_per_cell": -17.03, "raw_formation_energy_ev_per_atom": 1.16}

(12)
{"formula": "Ac3Ni2Ge4", "functional": "PBE", "state": "optimized geometry", "lattice": [[5.8661, -2.1569, 0.0000], [5.8661, 2.1569, 0.0000], [-1.1473, 0.0000, 8.5826]], "species": ["Ac", "Ac", "Ac", "Ni", "Ni", "Ge", "Ge", "Ge", "Ge"], "fractional_positions": [[0.0000, 0.0000, 0.0000], [0.3388, 0.3388, 0.3402], [0.6612, 0.6612, 0.6598], [0.3938, 0.3938, 0.7198], [0.6062, 0.6062, 0.2802], [0.0604, 0.0604, 0.3781], [0.2795, 0.2795, 0.9265], [0.7205, 0.7205, 0.0735], [0.9396, 0.9396, 0.6219]], "delta_e_f_ev_per_atom": -0.711, "total_energy_ev_per_cell": -48.76}

(13)
{"formula": "Pm4GaPb3", "functional": "PBE", "state": "optimized geometry", "lattice": [[4.4025, 0.0000, 0.0000], [0.0000, 4.6490, 0.0000], [0.0000, 0.0000, 11.7330]], "species": ["Pm", "Pm", "Pm", "Pm", "Ga", "Pb", "Pb", "Pb"], "fractional_positions": [[0.0000, 0.0000, 0.0000], [0.0000, 0.5000, 0.4833], [0.5000, 0.0000, 0.7192], [0.5000, 0.5000, 0.2221], [0.0000, 0.0000, 0.2662], [0.0000, 0.5000, 0.7573], [0.5000, 0.0000, 0.4358], [0.5000, 0.5000, 0.9503]], "delta_e_f_ev_per_atom": -0.562, "total_energy_ev_per_cell": -37.65}

(14)
{"formula": "AcGaSn2", "functional": "PBE", "state": "optimized geometry", "lattice": [[1.8071, 1.0433, 10.9478], [-1.8071, 1.0433, 10.9478], [0.0000, -2.0867, 10.9478]], "species": ["Ac", "Ga", "Sn", "Sn"], "fractional_positions": [[0.0000, 0.0000, 0.0000], [0.5000, 0.5000, 0.5000], [0.4188, 0.4188, 0.4188], [0.5812, 0.5812, 0.5812]], "delta_e_f_ev_per_atom": 0.039, "total_energy_ev_per_cell": -14.99}

(15)
{"formula": "In2CuAgS4", "functional": "PBE", "state": "optimized geometry", "lattice": [[0.0000, 4.0552, 5.7039], [4.0550, 0.0000, 5.7039], [4.0550, 4.0552, 0.0000]], "species": ["In", "In", "Cu", "Ag", "S", "S", "S", "S"], "fractional_positions": [[0.0000, 0.0000, 0.5000], [0.5000, 0.5000, 0.0000], [0.2497, 0.2497, 0.7503], [0.7505, 0.7505, 0.2495], [0.1376, 0.6005, 0.8624], [0.3629, 0.8990, 0.1010], [0.6005, 0.1376, 0.3995], [0.8990, 0.3629, 0.6371]], "total_energy_ev_per_cell": -32.55, "raw_formation_energy_ev_per_atom": -0.45}

(16)
{"formula": "TlZn2Pt2", "functional": "PBE", "state": "optimized geometry", "lattice": [[-1.8961, 1.8961, 6.3037], [1.8961, -1.8961, 6.3037], [1.8961, 1.8961, -6.3037]], "species": ["Tl", "Zn", "Zn", "Pt", "Pt"], "fractional_positions": [[0.0000, 0.0000, 0.0000], [0.2500, 0.7500, 0.5000], [0.7500, 0.2500, 0.5000], [0.3914, 0.3914, 0.0000], [0.6086, 0.6086, 0.0000]], "delta_e_f_ev_per_atom": -0.260, "total_energy_ev_per_cell": -18.29}

(17)
{"formula": "K2RbPa2O7", "functional": "PBE", "state": "optimized geometry", "lattice": [[-2.2381, 2.2381, 10.9861], [2.2381, -2.2381, 10.9861], [2.2381, 2.2381, -10.9861]], "species": ["K", "K", "Rb", "Pa", "Pa", "O", "O", "O", "O", "O", "O", "O"], "fractional_positions": [[0.2500, 0.7500, 0.5000], [0.7500, 0.2500, 0.5000], [0.0000, 0.0000, 0.0000], [0.4003, 0.4003, 0.0000], [0.5997, 0.5997, 0.0000], [0.0985, 0.5985, 0.5000], [0.3076, 0.3076, 0.0000], [0.4015, 0.9015, 0.5000], [0.5000, 0.5000, 0.0000], [0.5985, 0.0985, 0.5000], [0.6924, 0.6924, 0.0000], [0.9015, 0.4015, 0.5000]], "total_energy_ev_per_cell": -88.93, "raw_formation_energy_ev_per_atom": -2.67}

(18)
{"formula": "ZrAl2In", "functional": "PBE", "state": "optimized geometry", "lattice": [[1.5828, 0.9138, 9.6125], [-1.5828, 0.9138, 9.6125], [0.0000, -1.8276, 9.6125]], "species": ["Zr", "Al", "Al", "In"], "fractional_positions": [[0.0000, 0.0000, 0.0000], [0.2519, 0.2519, 0.2519], [0.7481, 0.7481, 0.7481], [0.5000, 0.5000, 0.5000]], "delta_e_f_ev_per_atom": -0.072, "total_energy_ev_per_cell": -19.06}

(19)
{"formula": "Y2ZrHgBr", "functional": "PBE", "state": "optimized geometry", "lattice": [[5.6919, 0.0000, 0.0000], [0.0000, 5.6919, 0.0000], [0.0000, 0.0000, 5.4003]], "species": ["Y", "Y", "Zr", "Hg", "Br"], "fractional_positions": [[0.0000, 0.5000, 0.0000], [0.5000, 0.0000, 0.0000], [0.0000, 0.0000, 0.5000], [0.0000, 0.0000, 0.0000], [0.5000, 0.5000, 0.5000]], "total_energy_ev_per_cell": -21.74, "raw_formation_energy_ev_per_atom": 0.34}

(20)
{"formula": "NdSmP", "functional": "PBE", "state": "optimized geometry", "lattice": [[4.0054, 0.0000, 0.0000], [-2.0027, 3.4687, 0.0000], [0.0000, 0.0000, 6.6854]], "species": ["Nd", "Sm", "P"], "fractional_positions": [[0.0000, 0.0000, 0.0000], [0.6667, 0.3333, 0.5118], [0.3333, 0.6667, 0.7512]], "delta_e_f_ev_per_atom": -0.932, "total_energy_ev_per_cell": -17.69}